(1)
CaNiHg after structural relaxation, computed with PBE.

Output
**E**: -2.91 eV/atom
**Crystal system**: orthorhombic
**E_form**: -0.2192 eV per atom

```
6
Lattice="-2.7194 3.2986 3.3991 2.7194 -3.2986 3.3991 2.7194 3.2986 -3.3991" Properties=species:S:1:pos:R:3 pbc="T T T"
Ca 1.3597 1.0965 0.0000
Ca 1.3597 2.2021 3.3991
Ni 0.0000 0.0000 2.3769
Ni 2.7194 0.0000 2.3769
Hg 1.3597 -1.1684 4.5013
Hg 1.3597 4.4670 1.1022
```

---

(2)
Ca2Ni2Hg after structural relaxation, computed with PBE.

Output
**E**: -3.45 eV/atom
**Crystal system**: monoclinic
**E_form**: -0.2720 eV per atom

```
5
Lattice="3.9412 0.0000 0.0000 0.0000 4.0733 0.0000 -1.9434 0.0000 6.7270" Properties=species:S:1:pos:R:3 pbc="T T T"
Ca 0.0112 0.0000 1.8476
Ca 1.9866 0.0000 4.8794
Ni 0.0158 2.0367 4.0041
Ni 1.9819 2.0367 2.7230
Hg 1.9706 2.0367 0.0000
```

---

(3)
Ca3NiHg after structural relaxation, computed with PBE.

Output
**E**: -2.56 eV/atom
**Crystal system**: cubic
**Energy above the lowest structure with this stoichiometry**: 0.152 eV per atom
**E_form**: -0.1473 eV per atom

```
5
Lattice="5.3834 0.0000 0.0000 0.0000 5.3834 0.0000 0.0000 0.0000 5.3834" Properties=species:S:1:pos:R:3 pbc="T T T"
Ca 0.0000 0.0000 2.6917
Ca 0.0000 2.6917 0.0000
Ca 2.6917 0.0000 0.0000
Ni 0.0000 0.0000 0.0000
Hg 2.6917 2.6917 2.6917
```

---

(4)
CaNiHg after structural relaxation, computed with PBE.

Output
**E**: -2.92 eV/atom
**Crystal system**: monoclinic
**E_form**: -0.2286 eV per atom

```
6
Lattice="5.3926 -2.0988 0.0000 5.3926 2.0988 0.0000 -0.6138 0.0000 5.7700" Properties=species:S:1:pos:R:3 pbc="T T T"
Ca 0.0000 0.0000 0.0000
Ca 6.1290 0.0000 2.9059
Ni 3.5522 0.0000 1.4045
Ni 9.2708 0.0000 2.5705
Hg 3.0619 0.0000 4.0919
Hg 7.6985 0.0000 0.2115
```

---

(5)
CaNiHg after structural relaxation, computed with PBE.

Output
**E**: -2.98 eV/atom
**Crystal system**: monoclinic
**E_form**: -0.2893 eV per atom

```
6
Lattice="4.0654 0.0000 0.0000 0.0000 3.9541 0.0000 -2.0497 0.0000 8.2230" Properties=species:S:1:pos:R:3 pbc="T T T"
Ca -0.0039 0.9885 1.5943
Ca 2.0196 2.9655 6.6287
Ni -0.0139 0.9885 7.6266
Ni 2.0295 2.9655 0.5964
Hg -0.0087 0.9885 4.9507
Hg 2.0243 2.9655 3.2723
```

---

(6)
Ca5NiHg2 after structural relaxation, computed with PBE.

Output
**E**: -2.36 eV/atom
**Crystal system**: orthorhombic
**E_form**: -0.3118 eV per atom

```
16
Lattice="8.4510 0.0000 0.0000 0.0000 12.7064 0.0000 0.0000 0.0000 4.4694" Properties=species:S:1:pos:R:3 pbc="T T T"
Ca 0.0000 0.0000 0.0000
Ca 1.2748 3.8847 0.0000
Ca 1.4868 7.3357 2.2347
Ca 2.7388 0.9825 2.2347
Ca 2.9507 10.2379 0.0000
Ca 4.2255 6.3532 0.0000
Ca 5.5003 2.4685 0.0000
Ca 5.7123 11.7239 2.2347
Ca 6.9643 5.3707 2.2347
Ca 7.1762 8.8217 0.0000
Ni 0.0000 6.3532 0.0000
Ni 4.2255 0.0000 0.0000
Hg 0.5041 10.5158 2.2347
Hg 3.7214 4.1626 2.2347
Hg 4.7296 8.5438 2.2347
Hg 7.9469 2.1906 2.2347
```

---

(7)
CaNi2Hg2 after structural relaxation, computed with PBE.

Output
**E**: -2.89 eV/atom
**Crystal system**: tetragonal
**Energy above the lowest structure with this stoichiometry**: 0.000 eV per atom
**E_form**: -0.0577 eV per atom

```
10
Lattice="7.2470 0.0000 0.0000 0.0000 7.2470 0.0000 0.0000 0.0000 3.5118" Properties=species:S:1:pos:R:3 pbc="T T T"
Ca 0.0000 0.0000 0.0000
Ca 3.6235 3.6235 0.0000
Ni 0.8732 2.7502 0.0000
Ni 2.7502 6.3737 0.0000
Ni 4.4967 0.8732 0.0000
Ni 6.3737 4.4967 0.0000
Hg 1.2370 4.8605 1.7559
Hg 2.3865 1.2370 1.7559
Hg 4.8605 6.0099 1.7559
Hg 6.0099 2.3865 1.7559
```

---

(8)
Ca4NiHg2 after structural relaxation, computed with PBE.

Output
**E**: -2.28 eV/atom
**Crystal system**: tetragonal
**E_form**: -0.2251 eV per atom

```
7
Lattice="-2.6239 2.6239 8.0612 2.6239 -2.6239 8.0612 2.6239 2.6239 -8.0612" Properties=species:S:1:pos:R:3 pbc="T T T"
Ca 2.6239 0.0000 0.0000
Ca 0.0000 0.0000 2.8414
Ca 0.0000 2.6239 0.0000
Ca 0.0000 0.0000 13.2811
Ni 0.0000 0.0000 0.0000
Hg 0.0000 0.0000 6.0063
Hg 0.0000 0.0000 10.1162
```

---

(9)
CaNiHg after structural relaxation, computed with PBE.

Output
**E**: -2.89 eV/atom
**Crystal system**: hexagonal
**E_form**: -0.1988 eV per atom

```
3
Lattice="4.5068 0.0000 0.0000 -2.2534 3.9030 0.0000 0.0000 0.0000 3.8015" Properties=species:S:1:pos:R:3 pbc="T T T"
Ca 0.0000 0.0000 0.0000
Ni 2.2534 1.3010 1.9008
Hg 0.0000 2.6020 1.9008
```

---

(10)
Ca4NiHg after structural relaxation, computed with PBE.

Output
**E**: -2.58 eV/atom
**Crystal system**: monoclinic
**Energy above the lowest structure with this stoichiometry**: 0.000 eV per atom
**E_form**: -0.2324 eV per atom

```
12
Lattice="4.6749 -6.8725 0.0000 4.6749 6.8725 0.0000 -3.0423 0.0000 5.6373" Properties=species:S:1:pos:R:3 pbc="T T T"
Ca 0.7976 4.5129 5.1846
Ca 0.5629 0.9093 3.9120
Ca 3.9888 4.5129 3.2714
Ca 2.0841 -0.9093 1.0933
Ca 4.2235 0.9093 4.5440
Ca 2.3188 -4.5129 2.3659
Ca 5.7446 -0.9093 1.7254
Ca 5.5100 -4.5129 0.4527
Ni 2.3932 6.8525 4.2280
Ni 3.9144 -6.8525 1.4093
Hg 3.9144 1.8190 1.4093
Hg 2.3932 -1.8190 4.2280
```

---

(11)
CaNiHg3 after structural relaxation, computed with PBE.

Output
**E**: -1.86 eV/atom
**Crystal system**: cubic
**Energy above the lowest structure with this stoichiometry**: 0.000 eV per atom
**E_form**: -0.1248 eV per atom

```
5
Lattice="5.0215 0.0000 0.0000 0.0000 5.0215 0.0000 0.0000 0.0000 5.0215" Properties=species:S:1:pos:R:3 pbc="T T T"
Ca 0.0000 0.0000 0.0000
Ni 2.5107 2.5107 2.5107
Hg 0.0000 2.5107 2.5107
Hg 2.5107 0.0000 2.5107
Hg 2.5107 2.5107 0.0000
```

---

(12)
CaNiHg after structural relaxation, computed with PBE.

Output
**E**: -2.81 eV/atom
**Crystal system**: tetragonal
**E_form**: -0.1143 eV per atom

```
3
Lattice="-1.7579 1.7579 5.0704 1.7579 -1.7579 5.0704 1.7579 1.7579 -5.0704" Properties=species:S:1:pos:R:3 pbc="T T T"
Ca 0.0000 0.0000 0.0000
Ni 0.0000 0.0000 3.2373
Hg 0.0000 0.0000 7.1217
```

---

(13)
CaNiHg after structural relaxation, computed with PBE.

Output
**E**: -2.97 eV/atom
**Crystal system**: monoclinic
**E_form**: -0.2758 eV per atom

```
6
Lattice="5.3275 -2.1106 0.0000 5.3275 2.1106 0.0000 -4.4194 0.0000 5.7427" Properties=species:S:1:pos:R:3 pbc="T T T"
Ca -0.7166 0.0000 1.8376
Ca 6.9523 0.0000 3.9051
Ni 2.4881 0.0000 1.8994
Ni 3.7476 0.0000 3.8433
Hg -0.6018 0.0000 5.1572
Hg 6.8375 0.0000 0.5856
```

---

(14)
CaNiHg after structural relaxation, computed with PBE.

Output
**E**: -2.97 eV/atom
**Crystal system**: monoclinic
**E_form**: -0.2780 eV per atom

```
6
Lattice="6.1835 -2.0726 0.0000 6.1835 2.0726 0.0000 -1.0565 0.0000 5.1598" Properties=species:S:1:pos:R:3 pbc="T T T"
Ca 1.2147 0.0000 1.6090
Ca 10.0958 0.0000 3.5508
Ni 1.8495 0.0000 4.5736
Ni 9.4610 0.0000 0.5862
Hg 4.8455 0.0000 1.2210
Hg 6.4650 0.0000 3.9388
```

---

(15)
CaNiHg after structural relaxation, computed with PBE.

Output
**E**: -2.90 eV/atom
**Crystal system**: monoclinic
**E_form**: -0.2048 eV per atom

```
6
Lattice="4.6628 -2.1153 0.0000 4.6628 2.1153 0.0000 -3.1454 0.0000 6.6244" Properties=species:S:1:pos:R:3 pbc="T T T"
Ca 0.0000 0.0000 0.0000
Ca 0.5123 0.0000 3.4825
Ni 6.1125 0.0000 1.4524
Ni 7.0847 0.0000 3.6298
Hg 3.2465 0.0000 1.8599
Hg 3.2913 0.0000 5.2107
```

---

(16)
CaNiHg after structural relaxation, computed with PBE.

Output
**E**: -2.92 eV/atom
**Crystal system**: orthorhombic
**E_form**: -0.2255 eV per atom

```
6
Lattice="3.8182 0.0000 0.0000 0.0000 1.9664 8.6994 0.0000 -1.9664 8.6994" Properties=species:S:1:pos:R:3 pbc="T T T"
Ca 0.0000 0.0000 0.0000
Ca 0.0000 0.0000 3.7992
Ni 0.0000 0.0000 14.7058
Ni 1.9091 0.0000 13.3408
Hg 1.9091 0.0000 6.6341
Hg 1.9091 0.0000 10.6422
```

---

(17)
CaNiHg4 after structural relaxation, computed with PBE.

Output
**E**: -1.36 eV/atom
**Crystal system**: cubic
**E_form**: 0.1360 eV per atom

```
6
Lattice="0.0000 4.1268 4.1268 4.1268 0.0000 4.1268 4.1268 4.1268 0.0000" Properties=species:S:1:pos:R:3 pbc="T T T"
Ca 0.0000 0.0000 0.0000
Ni 2.0634 2.0634 2.0634
Hg 5.1544 3.0992 3.0992
Hg 3.0992 5.1544 3.0992
Hg 3.0992 3.0992 5.1544
Hg 5.1544 5.1544 5.1544
```

---

(18)
CaNiHg after structural relaxation, computed with PBE.

Output
**E**: -2.92 eV/atom
**Crystal system**: monoclinic
**E_form**: -0.2258 eV per atom

```
6
Lattice="4.4183 0.0000 0.0000 0.0000 4.4187 0.0000 -0.0029 0.0000 6.8558" Properties=species:S:1:pos:R:3 pbc="T T T"
Ca 1.1042 1.1047 1.3566
Ca 3.3113 3.3140 5.4991
Ni 1.1062 3.3140 3.4278
Ni 3.3093 1.1047 3.4279
Hg 1.1009 1.1047 4.9368
Hg 3.3146 3.3140 1.9190
```

---

(19)
Ca3NiHg after structural relaxation, computed with PBE.

Output
**E**: -2.72 eV/atom
**Crystal system**: monoclinic
**Energy above the lowest structure with this stoichiometry**: 0.000 eV per atom
**E_form**: -0.2989 eV per atom

```
10
Lattice="8.1380 0.0000 0.0000 0.0000 4.2383 0.0000 -2.9056 0.0000 8.1677" Properties=species:S:1:pos:R:3 pbc="T T T"
Ca -0.1016 1.0596 1.9728
Ca -0.2051 1.0596 7.5010
Ca 1.0161 3.1787 4.7544
Ca 4.2163 1.0596 3.4133
Ca 5.4375 3.1787 0.6667
Ca 5.3340 3.1787 6.1949
Ni -1.2610 1.0596 4.6115
Ni 6.4934 3.1787 3.5562
Hg 2.3366 3.1787 1.6606
Hg 2.8958 1.0596 6.5071
```

---

(20)
CaNiHg after structural relaxation, computed with PBE.

Output
**E**: -2.37 eV/atom
**Crystal system**: cubic
**E_form**: 0.3229 eV per atom

```
3
Lattice="0.0000 3.3892 3.3892 3.3892 0.0000 3.3892 3.3892 3.3892 0.0000" Properties=species:S:1:pos:R:3 pbc="T T T"
Ca 0.0000 0.0000 0.0000
Ni 5.0838 5.0838 5.0838
Hg 1.6946 1.6946 1.6946
```